Entry 1:
DFT (GGA-PBE) results for crystalline SmHo2Sc at its relaxed geometry.

The calculated formation energy comes out at 0.042 eV per atom. As for the space group: P-1 (2). The calculation puts the excess energy over the best structure of this formula in the dataset at 0.048 eV/f.u. The value obtained for the density of states at the Fermi level is 1.41 states/eV/atom.

```
SmHo2Sc
1.0
6.0434 0.0000 0.0000
0.0117 6.9465 0.0000
2.0004 3.4624 5.6915
Sm Ho Sc
2 4 2
direct
0.2449 0.3738 0.2526
0.7551 0.6262 0.7474
0.2499 0.3722 0.7509
0.2500 0.8766 0.7504
0.7500 0.1234 0.2496
0.7501 0.6278 0.2491
0.2574 0.8774 0.2454
0.7426 0.1226 0.7546
```



Entry 2:
DFT (GGA-PBE) results for crystalline TiGaHg at its relaxed geometry.

The calculated formation energy comes out at -0.074 eV per atom. As for the space group: I4mm (107). The calculation puts the excess energy over the best structure of this formula in the dataset at 0.000 eV/f.u. The value obtained for the density of states at the Fermi level is 0.68 states/eV/atom.

```
TiGaHg
1.0
-1.4935 1.4935 6.1563
1.4935 -1.4935 6.1563
1.4935 1.4935 -6.1563
Ti Ga Hg
1 1 1
direct
0.0000 0.0000 0.0000
0.3555 0.3555 0.0000
0.6710 0.6710 0.0000
```



Entry 3:
DFT (GGA-PBE) results for crystalline SrLiTa at its relaxed geometry.

The calculated formation energy comes out at 1.389 eV per atom. As for the space group: P6_3/mmc (194). The calculation puts the excess energy over the best structure of this formula in the dataset at 3.047 eV/f.u. The value obtained for the density of states at the Fermi level is 1.73 states/eV/atom.

```
SrLiTa
1.0
5.5157 0.0000 0.0000
-2.7578 4.7767 0.0000
0.0000 0.0000 6.4125
Sr Li Ta
2 2 2
direct
0.3333 0.6667 0.2500
0.6667 0.3333 0.7500
0.0000 0.0000 0.0000
0.0000 0.0000 0.5000
0.3333 0.6667 0.7500
0.6667 0.3333 0.2500
```



Entry 4:
DFT (GGA-PBE) results for crystalline HfCd3Fe at its relaxed geometry.

The calculated formation energy comes out at 1.492 eV per atom. As for the space group: Pm-3m (221). The calculation puts the excess energy over the best structure of this formula in the dataset at 2.907 eV/f.u. The value obtained for the density of states at the Fermi level is 0.95 states/eV/atom.

```
HfCd3Fe
1.0
5.5085 0.0000 0.0000
0.0000 5.5085 0.0000
0.0000 0.0000 5.5085
Hf Cd Fe
1 3 1
direct
0.0000 0.0000 0.0000
0.0000 0.0000 0.5000
0.0000 0.5000 0.0000
0.5000 0.0000 0.0000
0.5000 0.5000 0.5000
```



Entry 5:
DFT (GGA-PBE) results for crystalline CsSr3Zr at its relaxed geometry.

The calculated formation energy comes out at 1.392 eV per atom. As for the space group: Pm-3m (221). The value obtained for the density of states at the Fermi level is 2.54 states/eV/atom.

```
CsSr3Zr
1.0
6.1131 0.0000 0.0000
0.0000 6.1131 0.0000
0.0000 0.0000 6.1131
Cs Sr Zr
1 3 1
direct
0.0000 0.0000 0.0000
0.0000 0.0000 0.5000
0.0000 0.5000 0.0000
0.5000 0.0000 0.0000
0.5000 0.5000 0.5000
```



Entry 6:
DFT (GGA-PBE) results for crystalline HgMoAs2 at its relaxed geometry.

The calculated formation energy comes out at -0.001 eV per atom. As for the space group: P4/mmm (123). The value obtained for the density of states at the Fermi level is 0.78 states/eV/atom.

```
HgMoAs2
1.0
3.1812 0.0000 0.0000
0.0000 3.1812 0.0000
0.0000 0.0000 8.1520
Hg Mo As
1 1 2
direct
0.0000 0.0000 0.0000
0.0000 0.0000 0.5000
0.5000 0.5000 0.3236
0.5000 0.5000 0.6764
```



> What is the calculated formation energy in the first record?

0.042 eV per atom



> Look up the calculated formation energy of the first one.

0.042 eV per atom



> Which of these has the highest calculated formation energy?

HfCd3Fe



> Among the records above, which one has the lowest calculated formation energy?

TiGaHg